VASP calculation (GGA-PBE) on a geometry-optimized Er2Al9Cu3 structure.

Computed properties:
- calculated density (g cm⁻³) = 5.4
- energy of formation (eV/atom) = -0.28
- Fermi-level density of states (states/eV/atom) = 0.43

a b c (Å): 13.102 7.493 10.619
angles (deg): 90.00 114.96 90.00
Space group C2/c (No. 15)
One atom of each set of equivalent atoms:
Er 0.169 0.082 0.249 [8 per cell]
Al 0.000 0.368 0.250 [4 per cell]
Al 0.061 0.082 0.929 [8 per cell]
Al 0.102 0.416 0.057 [8 per cell]
Al 0.103 0.314 0.749 [8 per cell]
Al 0.226 0.416 0.432 [8 per cell]
Cu 0.086 0.244 0.503 [8 per cell]
Cu 0.250 0.250 0.000 [4 per cell]